{"formula": "YGa3Te", "functional": "PBE-GGA", "state": "optimized geometry", "cell": [[5.337, 0.000, 0.000], [0.000, 5.337, 0.000], [0.000, 0.000, 5.337]], "species": ["Y", "Ga", "Ga", "Ga", "Te"], "frac_coords": [[0.000, 0.000, 0.000], [0.000, 0.500, 0.500], [0.500, 0.000, 0.500], [0.500, 0.500, 0.000], [0.500, 0.500, 0.500]], "formation_energy_uncorrected_ev_per_atom": 0.49, "m_tot_mub_per_fu": 0.00}